# 1
Computed, not measured: crystalline DyP2 at its relaxed geometry at the PBE level of DFT.

a = 12.5473 Å, b = 12.5473 Å, c = 12.5473 Å
α = 90.00°, β = 90.00°, γ = 90.00°
Space group Fd-3m (No. 227, origin choice 2)
Asymmetric unit:
Dy 0.1250 0.1250 0.1250
P 0.0000 0.0000 0.0000

Properties
The calculation puts the electronic total energy at -105.2 eV/cell. The calculation puts the size of the total moment at 3.00 μB/f.u.

***

# 2
Computed, not measured: crystalline Dy3P2 at its relaxed geometry at the PBE level of DFT.

a = 3.9692 Å, b = 3.9692 Å, c = 9.4132 Å
α = 90.00°, β = 90.00°, γ = 120.00°
Space group P-3m1 (No. 164)
Asymmetric unit:
Dy 0.0000 0.0000 0.0000
Dy 0.3333 0.6667 0.3348
P 0.3333 0.6667 0.8244

Properties
The calculation puts the electronic total energy at -31.0 eV/cell. The calculation puts the size of the total moment at 0.00 μB/f.u.

***

# 3
Computed, not measured: crystalline DyP2 at its relaxed geometry at the PBE level of DFT.

a = 7.5664 Å, b = 7.5664 Å, c = 7.5664 Å
α = 90.00°, β = 90.00°, γ = 90.00°
Space group Fd-3m (No. 227, origin choice 2)
Asymmetric unit:
Dy 0.1250 0.1250 0.1250
P 0.0000 0.0000 0.5000

Properties
The calculation puts the electronic total energy at -129.3 eV/cell. The calculation puts the size of the total moment at 0.00 μB/f.u.

***

# 4
Computed, not measured: crystalline DyP2 at its relaxed geometry at the PBE level of DFT.

a = 6.5383 Å, b = 6.5383 Å, c = 6.5383 Å
α = 90.00°, β = 90.00°, γ = 90.00°
Space group Fm-3m (No. 225)
Asymmetric unit:
Dy 0.0000 0.0000 0.0000
P 0.2500 0.2500 0.2500

Properties
The calculation puts the electronic total energy at -65.3 eV/cell. The calculation puts the size of the total moment at 0.01 μB/f.u.

***

Per-record volume, Å³ per cell: 1975.4, 128.4, 433.2, 279.5